(1)
{
  "formula": "Sc4N3F2",
  "functional": "PBE-GGA",
  "state": "optimized geometry",
  "dos_ef_per_ev_atom": 0.21,
  "cell": [[5.347, -1.586, 0.000], [5.347, 1.586, 0.000], [-4.478, 0.000, 6.839]],
  "species": ["Sc", "Sc", "Sc", "Sc", "N", "N", "N", "F", "F"],
  "frac_coords": [[0.097, 0.097, 0.399], [0.279, 0.279, 0.222], [0.721, 0.721, 0.778], [0.903, 0.903, 0.601], [0.303, 0.303, 0.693], [0.500, 0.500, 0.500], [0.697, 0.697, 0.307], [0.131, 0.131, 0.890], [0.869, 0.869, 0.110]]
}

***

(2)
{
  "formula": "Sc2NF",
  "functional": "PBE-GGA",
  "state": "optimized geometry",
  "dos_ef_per_ev_atom": 0.48,
  "cell": [[-2.545, 2.545, 4.959], [2.545, -2.545, 4.959], [2.545, 2.545, -4.959]],
  "species": ["Sc", "Sc", "Sc", "Sc", "N", "N", "F", "F"],
  "frac_coords": [[0.087, 0.625, 0.962], [0.375, 0.337, 0.462], [0.663, 0.125, 0.038], [0.875, 0.913, 0.538], [0.000, 0.000, 0.000], [0.750, 0.250, 0.500], [0.250, 0.750, 0.500], [0.500, 0.500, 0.000]]
}

***

(3)
{
  "formula": "Sc2NF",
  "functional": "PBE-GGA",
  "state": "optimized geometry",
  "dos_ef_per_ev_atom": 0.80,
  "cell": [[0.000, 2.820, 2.820], [2.820, 0.000, 2.820], [2.820, 2.820, 0.000]],
  "species": ["Sc", "Sc", "N", "F"],
  "frac_coords": [[0.250, 0.250, 0.250], [0.750, 0.750, 0.750], [0.000, 0.000, 0.000], [0.500, 0.500, 0.500]]
}

***

(4)
{
  "formula": "Sc3NF",
  "functional": "PBE-GGA",
  "state": "optimized geometry",
  "dos_ef_per_ev_atom": 1.18,
  "de_polymorph_ev_per_atom": 0.000,
  "cell": [[4.413, 0.000, 0.000], [0.000, 4.413, 0.000], [0.000, 0.000, 4.413]],
  "species": ["Sc", "Sc", "Sc", "N", "F"],
  "frac_coords": [[0.000, 0.000, 0.500], [0.000, 0.500, 0.000], [0.500, 0.000, 0.000], [0.000, 0.000, 0.000], [0.500, 0.500, 0.500]]
}

***

(5)
{
  "formula": "ScNF",
  "functional": "PBE-GGA",
  "state": "optimized geometry",
  "cell": [[4.302, 0.000, 0.000], [0.000, 4.043, 0.000], [0.000, 0.000, 8.047]],
  "species": ["Sc", "Sc", "Sc", "Sc", "N", "N", "N", "N", "F", "F", "F", "F"],
  "frac_coords": [[0.000, 0.033, 0.000], [0.000, 0.967, 0.500], [0.500, 0.458, 0.745], [0.500, 0.542, 0.245], [0.172, 0.459, 0.442], [0.172, 0.541, 0.942], [0.828, 0.459, 0.442], [0.828, 0.541, 0.942], [0.000, 0.090, 0.740], [0.000, 0.910, 0.240], [0.500, 0.058, 0.135], [0.500, 0.942, 0.635]]
}

***

(6)
{
  "formula": "ScSeN2F",
  "functional": "PBE-GGA",
  "state": "optimized geometry",
  "dos_ef_per_ev_atom": 0.46,
  "de_polymorph_ev_per_atom": 0.443,
  "cell": [[3.765, 0.000, 0.000], [0.000, 3.765, 0.000], [0.000, 0.000, 5.109]],
  "species": ["Sc", "Se", "N", "N", "F"],
  "frac_coords": [[0.000, 0.000, 0.000], [0.000, 0.000, 0.500], [0.000, 0.500, 0.500], [0.500, 0.000, 0.500], [0.500, 0.500, 0.000]]
}

***

(7)
{
  "formula": "ScSeNF2",
  "functional": "PBE-GGA",
  "state": "optimized geometry",
  "dos_ef_per_ev_atom": 0.74,
  "de_polymorph_ev_per_atom": 1.035,
  "cell": [[4.538, 0.000, 0.000], [0.000, 4.538, 0.000], [0.000, 0.000, 3.763]],
  "species": ["Sc", "Se", "N", "F", "F"],
  "frac_coords": [[0.000, 0.000, 0.000], [0.500, 0.500, 0.500], [0.500, 0.500, 0.000], [0.000, 0.500, 0.500], [0.500, 0.000, 0.500]]
}

***

(8)
{
  "formula": "ScSeN2F",
  "functional": "PBE-GGA",
  "state": "optimized geometry",
  "dos_ef_per_ev_atom": 0.40,
  "de_polymorph_ev_per_atom": 0.715,
  "cell": [[4.240, 0.000, 0.000], [0.000, 4.240, 0.000], [0.000, 0.000, 5.449]],
  "species": ["Sc", "Se", "N", "N", "F"],
  "frac_coords": [[0.000, 0.000, 0.000], [0.000, 0.000, 0.500], [0.000, 0.500, 0.000], [0.500, 0.000, 0.000], [0.500, 0.500, 0.500]]
}

***

The calculation returns the following magnetic moment values, one per record and in order: 0.0000 0.4644 0.0008 0.0001 0.0000 0.0000 0.1923 0.4181 μB/atom.
The calculation returns the following V values, one per record and in order: 12.89 16.06 11.22 17.19 11.67 14.48 15.50 19.59 Å³ per atom.
The calculation returns the following formation energy without anion corrections values, one per record and in order: -2.393 -1.898 -1.525 -0.919 -2.075 0.433 -0.374 0.705 eV/atom.